(1)
A plane-wave DFT calculation with PBE was carried out for an optimized crystal structure of K2In3Br8.

Unit cell a=7.9441 b=7.9441 c=8.7351 alpha=93.39 beta=93.39 gamma=57.23
With the nearest neighbours (Å) after each atom.
Fractional positions:
K 0.2028 0.2028 0.1063  6 Br 3.26-3.49
K 0.7972 0.7972 0.8937  6 Br 3.26-3.49
In 0.2891 0.7109 0.5000  4 Br 2.86-3.09
In 0.5000 0.5000 0.0000  6 Br 2.68-2.74
In 0.7109 0.2891 0.5000  4 Br 2.86-3.09
Br 0.1249 0.1249 0.4498  2 In 2.86
Br 0.1629 0.6593 0.1684  1 In 2.74
Br 0.3407 0.8371 0.8316  1 In 2.74
Br 0.3480 0.3480 0.7958  1 In 2.68
Br 0.6520 0.6520 0.2042  1 In 2.68
Br 0.6593 0.1629 0.1684  1 In 2.74
Br 0.8371 0.3407 0.8316  1 In 2.74
Br 0.8751 0.8751 0.5502  2 In 2.86

Computed properties:
**Formation energy from raw total energies**: -1304 kJ/mol of formula units
**Space-group type**: C2/m, No. 12
**Final energy**: -37.313 eV per cell

=====

(2)
A plane-wave DFT calculation with PBE was carried out for an optimized crystal structure of Th2Ir5Rh5.

Unit cell a=4.3771 b=5.2789 c=9.1826 alpha=90.00 beta=90.00 gamma=90.00
With the nearest neighbours (Å) after each atom.
Fractional positions:
Th 0.0000 0.0000 0.0000  6 Rh 3.05
Th 0.0000 0.5000 0.5000  6 Rh 3.06, 8 Ir 3.42
Ir 0.5000 0.0000 0.5000  4 Ir 2.64, 4 Rh 2.68
Ir 0.5000 0.2514 0.2515  3 Ir 2.62-2.65, 5 Rh 2.66-2.67
Ir 0.5000 0.2514 0.7485  3 Ir 2.62-2.65, 5 Rh 2.66-2.67
Ir 0.5000 0.7486 0.2515  3 Ir 2.62-2.65, 5 Rh 2.66-2.67
Ir 0.5000 0.7486 0.7485  3 Ir 2.62-2.65, 5 Rh 2.66-2.67
Rh 0.0000 0.0000 0.3318  6 Ir 2.66-2.68
Rh 0.0000 0.0000 0.6682  6 Ir 2.66-2.68
Rh 0.0000 0.5000 0.1668  4 Ir 2.67, 2 Rh 2.67
Rh 0.0000 0.5000 0.8332  4 Ir 2.67, 2 Rh 2.67
Rh 0.5000 0.5000 0.0000  4 Ir 2.66, 4 Rh 2.67

Computed properties:
**Space-group type**: Pmmm, No. 47
**Final energy**: -101.556 eV per cell
**Energy relative to the elements**: -471 meV per atom

=====

(3)
A plane-wave DFT calculation with PBE was carried out for an optimized crystal structure of CaDyHo4Te8.

Unit cell a=9.0733 b=9.0733 c=9.0733 alpha=59.94 beta=59.94 gamma=59.94
With the nearest neighbours (Å) after each atom.
Fractional positions:
Ca 0.0000 0.0000 0.0000  4 Te 2.99
Dy 0.3721 0.3721 0.3721  6 Te 3.07-3.15
Ho 0.3725 0.3725 0.8807  6 Te 3.05-3.13
Ho 0.3725 0.8807 0.3725  6 Te 3.05-3.13
Ho 0.7495 0.7495 0.7495  4 Te 2.95-2.96
Ho 0.8807 0.3725 0.3725  6 Te 3.05-3.13
Te 0.1334 0.1334 0.5955  1 Ca 2.99, 2 Ho 3.05, 1 Dy 3.07
Te 0.1334 0.5955 0.1334  1 Ca 2.99, 2 Ho 3.05, 1 Dy 3.07
Te 0.1346 0.1346 0.1346  1 Ca 2.99, 3 Ho 3.05
Te 0.1483 0.6169 0.6169  3 Ho 2.95-3.13, 1 Dy 3.15
Te 0.5955 0.1334 0.1334  1 Ca 2.99, 2 Ho 3.05, 1 Dy 3.07
Te 0.6165 0.6165 0.6165  4 Ho 2.96-3.13
Te 0.6169 0.1483 0.6169  3 Ho 2.95-3.13, 1 Dy 3.15
Te 0.6169 0.6169 0.1482  3 Ho 2.95-3.13, 1 Dy 3.15

Computed properties:
**Formation energy from raw total energies**: -1766 kJ/mol of formula units
**Space-group type**: R3m, No. 160
**Final energy**: -68.350 eV per cell

=====

(4)
A plane-wave DFT calculation with PBE was carried out for an optimized crystal structure of TlTcRh4.

Unit cell a=5.1706 b=5.1706 c=5.1706 alpha=60.00 beta=60.00 gamma=60.00
With the nearest neighbours (Å) after each atom.
Fractional positions:
Tl 0.0000 0.0000 0.0000  12 Rh 3.03, 4 Tc 3.17
Tc 0.7500 0.7500 0.7500  12 Rh 3.03, 4 Tl 3.17
Rh 0.3752 0.3752 0.3752  6 Rh 2.58-2.59
Rh 0.3752 0.3752 0.8745  6 Rh 2.58-2.59
Rh 0.3752 0.8745 0.3752  6 Rh 2.58-2.59
Rh 0.8745 0.3752 0.3752  6 Rh 2.58-2.59

Computed properties:
**Space-group type**: F-43m, No. 216
**Final energy**: -39.665 eV per cell
**Energy relative to the elements**: 412 meV per atom

=====

(5)
A plane-wave DFT calculation with PBE was carried out for an optimized crystal structure of La2ThTl.

Unit cell a=3.6685 b=3.6685 c=11.6106 alpha=99.07 beta=99.07 gamma=59.98
With the nearest neighbours (Å) after each atom.
Fractional positions:
La 0.0000 0.0000 0.0000  3 Tl 3.48, 3 Th 3.62-3.63, 6 La 3.67
La 0.1712 0.1712 0.5150  3 Tl 3.49, 3 Th 3.62, 6 La 3.67
Th 0.7534 0.7534 0.2580  6 La 3.62-3.63, 6 Th 3.67
Tl 0.5868 0.5868 0.7578  6 La 3.48-3.49, 6 Tl 3.67

Computed properties:
**Relative energy among the computed polymorphs**: 0.46 eV/f.u.
**Space-group type**: Cm, No. 8
**Final energy**: -19.956 eV per cell
**Energy relative to the elements**: -79 meV per atom

=====

(6)
A plane-wave DFT calculation with PBE was carried out for an optimized crystal structure of NaAcLuSn.

Unit cell a=5.5722 b=5.5722 c=5.5722 alpha=60.00 beta=60.00 gamma=60.00
With the nearest neighbours (Å) after each atom.
Fractional positions:
Na 0.0000 0.0000 0.0000  4 Lu 3.41, 4 Ac 3.41
Ac 0.2500 0.2500 0.2500  4 Sn 3.41, 4 Na 3.41
Lu 0.7500 0.7500 0.7500  4 Na 3.41, 4 Sn 3.41
Sn 0.5000 0.5000 0.5000  4 Lu 3.41, 4 Ac 3.41

Computed properties:
**Space-group type**: F-43m, No. 216
**Final energy**: -14.663 eV per cell
**Energy relative to the elements**: -178 meV per atom

=====

(7)
A plane-wave DFT calculation with PBE was carried out for an optimized crystal structure of VFeCoCu.

Unit cell a=4.0189 b=4.0189 c=4.0189 alpha=60.00 beta=60.00 gamma=60.00
With the nearest neighbours (Å) after each atom.
Fractional positions:
V 0.0000 0.0000 0.0000  4 Fe 2.46, 4 Co 2.46
Fe 0.7500 0.7500 0.7500  4 V 2.46, 4 Cu 2.46
Co 0.2500 0.2500 0.2500  4 Cu 2.46, 4 V 2.46
Cu 0.5000 0.5000 0.5000  4 Fe 2.46, 4 Co 2.46

Computed properties:
**Space-group type**: F-43m, No. 216
**Final energy**: -28.679 eV per cell
**Energy relative to the elements**: 26 meV per atom

=====

(8)
A plane-wave DFT calculation with PBE was carried out for an optimized crystal structure of ScGa2NiSb.

Unit cell a=5.1920 b=5.1920 c=5.4070 alpha=90.00 beta=90.00 gamma=90.00
With the nearest neighbours (Å) after each atom.
Fractional positions:
Sc 0.0000 0.0000 0.0000  2 Sb 2.70
Ga 0.0000 0.5000 0.5000  2 Sb 2.60
Ga 0.5000 0.0000 0.5000  2 Sb 2.60
Ni 0.5000 0.5000 0.0000  4 Sc 3.67, 8 Ga 3.75
Sb 0.0000 0.0000 0.5000  4 Ga 2.60, 2 Sc 2.70

Computed properties:
**Formation energy from raw total energies**: 441 kJ/mol of formula units
**Space-group type**: P4/mmm, No. 123
**Final energy**: -17.717 eV per cell

=====

(9)
A plane-wave DFT calculation with PBE was carried out for an optimized crystal structure of Pm8Dy5Zr.

Unit cell a=8.5976 b=8.5976 c=9.4538 alpha=123.31 beta=123.31 gamma=61.93
With the nearest neighbours (Å) after each atom.
Fractional positions:
Pm 0.0423 0.0423 0.3764  2 Dy 3.20-3.44, 1 Zr 3.22, 3 Pm 3.28-3.49
Pm 0.1364 0.4798 0.5732  1 Zr 3.32, 3 Dy 3.35-3.52, 4 Pm 3.43-3.58
Pm 0.4267 0.0740 0.8289  1 Zr 3.17, 4 Dy 3.39-3.55
Pm 0.4436 0.2264 0.3036  1 Zr 3.22, 2 Dy 3.46-3.60, 1 Pm 3.57
Pm 0.5202 0.8636 0.4268  1 Zr 3.32, 3 Dy 3.35-3.52, 4 Pm 3.43-3.58
Pm 0.7736 0.5564 0.6964  1 Zr 3.22, 2 Dy 3.46-3.60, 1 Pm 3.57
Pm 0.9260 0.5733 0.1711  1 Zr 3.17, 4 Dy 3.39-3.55
Pm 0.9577 0.9577 0.6236  2 Dy 3.20-3.44, 1 Zr 3.22, 3 Pm 3.28-3.49
Dy 0.2278 0.5682 0.0425  3 Dy 3.26-3.58, 4 Pm 3.39-3.55, 1 Zr 3.56
Dy 0.4318 0.7722 0.9575  3 Dy 3.26-3.58, 4 Pm 3.39-3.55, 1 Zr 3.56
Dy 0.6082 0.3117 0.7803  3 Dy 3.26-3.52, 7 Pm 3.35-3.63
Dy 0.6883 0.3918 0.2197  3 Dy 3.26-3.52, 7 Pm 3.35-3.63
Dy 0.9809 0.0191 0.0000  2 Pm 3.20, 4 Dy 3.43-3.57
Zr 0.3135 0.6865 0.5000  8 Pm 3.17-3.32

Computed properties:
**Space-group type**: C2, No. 5
**Final energy**: -66.464 eV per cell
**Energy relative to the elements**: 221 meV per atom

=====

(10)
A plane-wave DFT calculation with PBE was carried out for an optimized crystal structure of PmPr2B9.

Unit cell a=10.2386 b=10.2386 c=10.2386 alpha=25.33 beta=25.33 gamma=25.33
With the nearest neighbours (Å) after each atom.
Fractional positions:
Pm 0.0000 0.0000 0.0000  18 B 2.89-3.21
Pr 0.1169 0.1169 0.1169  12 B 2.83-3.04
Pr 0.8831 0.8831 0.8831  12 B 2.83-3.04
B 0.0312 0.3940 0.3940  3 B 1.63-1.65
B 0.3940 0.0312 0.3940  3 B 1.63-1.65
B 0.3940 0.3940 0.0312  3 B 1.63-1.65
B 0.3970 0.3970 0.3970  3 B 1.65
B 0.5000 0.5000 0.5000  6 Pr 2.98, 2 B 3.06
B 0.6030 0.6030 0.6030  3 B 1.65
B 0.6060 0.6060 0.9688  3 B 1.63-1.65
B 0.6060 0.9688 0.6060  3 B 1.63-1.65
B 0.9688 0.6060 0.6060  3 B 1.63-1.65

Computed properties:
**Space-group type**: R-3m, No. 166
**Final energy**: -75.683 eV per cell
**Energy relative to the elements**: -106 meV per atom

=====

(11)
A plane-wave DFT calculation with PBE was carried out for an optimized crystal structure of ScAuSe2Br.

Unit cell a=5.2090 b=5.2090 c=5.1327 alpha=90.00 beta=90.00 gamma=90.00
With the nearest neighbours (Å) after each atom.
Fractional positions:
Sc 0.0000 0.0000 0.0000  2 Br 2.57, 4 Se 2.60
Au 0.5000 0.5000 0.5000  8 Se 3.66, 4 Br 3.68
Se 0.0000 0.5000 0.0000  2 Sc 2.60
Se 0.5000 0.0000 0.0000  2 Sc 2.60
Br 0.0000 0.0000 0.5000  2 Sc 2.57

Computed properties:
**Formation energy from raw total energies**: -137 kJ/mol of formula units
**Relative energy among the computed polymorphs**: 0.00 eV/f.u.
**Space-group type**: P4/mmm, No. 123
**Final energy**: -19.673 eV per cell

=====

(12)
A plane-wave DFT calculation with PBE was carried out for an optimized crystal structure of SrLiTc2N4.

Unit cell a=5.1856 b=5.1856 c=5.1856 alpha=117.04 beta=114.55 gamma=97.46
With the nearest neighbours (Å) after each atom.
Fractional positions:
Sr 0.0000 0.0000 0.0000  8 N 2.58-2.60
Li 0.5000 0.5000 0.0000  8 N 2.58-2.60
Tc 0.2883 0.7883 0.5000  4 N 1.92-2.01
Tc 0.7117 0.2117 0.5000  4 N 1.92-2.01
N 0.0070 0.9962 0.5032  2 Tc 1.92-2.01
N 0.4930 0.5038 0.4968  2 Tc 1.92-2.01
N 0.5070 0.0038 0.0109  2 Tc 1.92-2.01
N 0.9930 0.4962 0.9891  2 Tc 1.92-2.01

Computed properties:
**Formation energy from raw total energies**: -135 kJ/mol of formula units
**Space-group type**: I222, No. 23
**Final energy**: -59.031 eV per cell

=====

| no. | total moment (μB/cell) |
| --- | --- |
| 1 | 0.0 |
| 2 | 0.0 |
| 3 | 0.0 |
| 4 | 2.6 |
| 5 | 0.0 |
| 6 | 0.0 |
| 7 | 0.9 |
| 8 | 0.0 |
| 9 | 0.0 |
| 10 | 0.0 |
| 11 | 0.0 |
| 12 | 0.0 |